Entry from Alexandria via LeMat-Bulk: a geometry-optimized Sc2TcHg structure (PBE).

Cell lengths 4.2501, 4.2501, 18.7272 Å; angles 90.00, 90.00, 90.00 degrees
Sites, in units of the cell vectors:
Sc  0.2320  0.2500  0.1250
Sc  0.2500  0.7320  0.3750
Sc  0.2500  0.7680  0.8750
Sc  0.2680  0.2500  0.6250
Sc  0.7320  0.7500  0.6250
Sc  0.7500  0.2320  0.8750
Sc  0.7500  0.2680  0.3750
Sc  0.7680  0.7500  0.1250
Tc  0.0000  0.0000  0.0000
Tc  0.0000  0.5000  0.2500
Tc  0.5000  0.0000  0.7500
Tc  0.5000  0.5000  0.5000
Hg  0.0000  0.0000  0.5000
Hg  0.0000  0.5000  0.7500
Hg  0.5000  0.0000  0.2500
Hg  0.5000  0.5000  0.0000

E_tot = -5.412 eV per atom
total magnetic moment = 4.03 μB/cell
theoretical density = 7.63 g/cm3
formation enthalpy at 0 K = 0.421 eV per atom